8
Lattice="2.507 1.447 9.134 -2.507 1.447 9.134 0.000 -2.895 9.134" Properties=species:S:1:pos:R:3 comment="Li2PrMgTl4 (PBE-GGA, optimized geometry)" formation_enthalpy_0k_ev_per_atom=-0.234 m_tot_mub_per_cell=0.00 pbc="T T T"
Li 0.000 0.000 6.662
Li 0.000 0.000 20.740
Pr 0.000 0.000 0.000
Mg 0.000 0.000 13.701
Tl 0.000 0.000 3.442
Tl 0.000 0.000 10.632
Tl 0.000 0.000 16.769
Tl 0.000 0.000 23.959



3
Lattice="-2.258 2.258 3.585 2.258 -2.258 3.585 2.258 2.258 -3.585" Properties=species:S:1:pos:R:3 comment="PmTlH (PBE-GGA, optimized geometry)" relative_energy_mev_per_atom=526 m_tot_mub_per_cell=0.00 pbc="T T T"
Pm 0.000 0.000 0.000
Tl 0.000 0.000 4.075
H 0.000 0.000 2.174



3
Lattice="-1.862 1.862 6.382 1.862 -1.862 6.382 1.862 1.862 -6.382" Properties=species:S:1:pos:R:3 comment="PrThAg (PBE-GGA, optimized geometry)" formation_enthalpy_0k_ev_per_atom=-0.057 relative_energy_mev_per_atom=21 m_tot_mub_per_cell=0.00 pbc="T T T"
Pr 0.000 0.000 0.000
Th 0.000 0.000 8.874
Ag 0.000 0.000 4.382



5
Lattice="-2.334 2.334 7.134 2.334 -2.334 7.134 2.334 2.334 -7.134" Properties=species:S:1:pos:R:3 comment="TbPmTeSe2 (PBE-GGA, optimized geometry)" m_tot_mub_per_cell=0.00 raw_formation_energy_mev_per_atom=-1370 pbc="T T T"
Tb 0.000 0.000 0.000
Pm 0.000 0.000 3.958
Te 0.000 0.000 9.166
Se 2.334 0.000 5.612
Se 0.000 2.334 5.612



5
Lattice="3.821 0.000 0.000 0.000 3.821 0.000 0.000 0.000 3.769" Properties=species:S:1:pos:R:3 comment="Cr2FeOsN (PBE-GGA, optimized geometry)" m_tot_mub_per_cell=0.05 raw_formation_energy_mev_per_atom=-91 pbc="T T T"
Cr 0.000 1.911 0.000
Cr 1.911 0.000 0.000
Fe 0.000 0.000 1.884
Os 1.911 1.911 1.884
N 0.000 0.000 0.000



14
Lattice="7.429 0.000 0.000 0.000 7.429 0.000 0.000 0.000 3.877" Properties=species:S:1:pos:R:3 comment="Ce2PF4 (PBE-GGA, optimized geometry)" m_tot_mub_per_cell=2.06 raw_formation_energy_mev_per_atom=-3234 pbc="T T T"
Ce 1.605 1.605 0.000
Ce 2.110 5.319 1.939
Ce 5.319 2.110 1.939
Ce 5.824 5.824 0.000
P 0.000 0.000 1.939
P 3.714 3.714 0.000
F 0.665 4.942 0.000
F 1.228 3.050 1.939
F 2.486 6.764 0.000
F 3.050 1.228 1.939
F 4.379 6.201 1.939
F 4.942 0.665 0.000
F 6.201 4.379 1.939
F 6.764 2.486 0.000



12
Lattice="3.639 -5.482 0.000 3.639 5.482 0.000 0.000 0.000 5.444" Properties=species:S:1:pos:R:3 comment="SmCoSi3Os (PBE-GGA, optimized geometry)" m_tot_mub_per_cell=0.00 raw_formation_energy_mev_per_atom=-361 pbc="T T T"
Sm 3.639 2.746 4.083
Sm 3.639 -2.746 1.361
Co 3.639 4.934 1.361
Co 3.639 -4.934 4.083
Si 3.639 2.871 1.361
Si 1.738 0.000 0.000
Si 1.738 0.000 2.722
Si 5.541 0.000 0.000
Si 5.541 0.000 2.722
Si 3.639 -2.871 4.083
Os 3.639 0.644 1.361
Os 3.639 -0.644 4.083



18
Lattice="1.996 -8.644 0.000 1.996 8.644 0.000 0.000 0.000 12.333" Properties=species:S:1:pos:R:3 comment="Ce2NpNiSe5 (PBE-GGA, optimized geometry)" m_tot_mub_per_cell=10.04 raw_formation_energy_mev_per_atom=-1377 pbc="T T T"
Ce 1.996 6.776 6.166
Ce 1.996 6.574 10.474
Ce 1.996 -6.574 4.308
Ce 1.996 -6.776 0.000
Np 1.996 5.569 2.178
Np 1.996 -5.569 8.344
Ni 1.996 0.952 7.013
Ni 1.996 -0.952 0.847
Se 1.996 8.350 2.014
Se 1.996 3.352 10.398
Se 1.996 3.227 6.300
Se 1.996 2.689 2.119
Se 1.996 0.046 11.064
Se 1.996 -0.046 4.898
Se 1.996 -2.689 8.285
Se 1.996 -3.227 0.134
Se 1.996 -3.352 4.232
Se 1.996 -8.350 8.181



16
Lattice="1.887 -6.795 0.000 1.887 6.795 0.000 0.000 0.000 18.741" Properties=species:S:1:pos:R:3 comment="NaCo2Cl5 (PBE-GGA, optimized geometry)" m_tot_mub_per_cell=12.00 raw_formation_energy_mev_per_atom=-798 pbc="T T T"
Na 1.887 6.527 14.056
Na 1.887 -6.527 4.685
Co 1.887 3.335 2.556
Co 1.887 3.335 6.815
Co 1.887 -3.335 11.926
Co 1.887 -3.335 16.185
Cl 1.887 5.518 2.546
Cl 1.887 5.518 6.824
Cl 1.887 4.306 10.955
Cl 1.887 4.306 17.157
Cl 1.887 2.318 4.685
Cl 1.887 -2.318 14.056
Cl 1.887 -4.306 1.584
Cl 1.887 -4.306 7.786
Cl 1.887 -5.518 11.917
Cl 1.887 -5.518 16.195



12
Lattice="2.806 1.620 8.839 -2.806 1.620 8.839 0.000 -3.240 8.839" Properties=species:S:1:pos:R:3 comment="Sr2LiZn9 (PBE-GGA, optimized geometry)" formation_enthalpy_0k_ev_per_atom=-0.101 m_tot_mub_per_cell=0.00 pbc="T T T"
Sr 0.000 0.000 3.705
Sr 0.000 0.000 22.812
Li 0.000 0.000 0.000
Zn -1.418 -0.819 10.940
Zn 0.000 0.000 8.869
Zn 0.000 -1.638 15.577
Zn -1.418 0.819 15.577
Zn 0.000 0.000 13.259
Zn 1.418 -0.819 10.940
Zn 0.000 1.638 10.940
Zn 0.000 0.000 17.648
Zn 1.418 0.819 15.578



8
Lattice="4.704 -6.263 0.000 4.704 6.263 0.000 0.000 0.000 4.190" Properties=species:S:1:pos:R:3 comment="Na3ZrTe4 (PBE-GGA, optimized geometry)" m_tot_mub_per_cell=0.00 raw_formation_energy_mev_per_atom=-793 pbc="T T T"
Na 0.000 0.000 0.000
Na 2.352 3.131 2.095
Na 2.352 -3.131 2.095
Zr 4.704 0.000 0.000
Te 4.704 2.915 0.000
Te 2.637 0.000 2.095
Te 6.772 0.000 2.095
Te 4.704 -2.915 0.000



4
Lattice="3.821 -1.791 0.000 3.821 1.791 0.000 -2.223 0.000 5.293" Properties=species:S:1:pos:R:3 comment="Zn2AsP (PBE-GGA, optimized geometry)" formation_enthalpy_0k_ev_per_atom=0.056 relative_energy_mev_per_atom=0 m_tot_mub_per_cell=0.00 pbc="T T T"
Zn 0.000 0.000 0.000
Zn -0.202 0.000 3.808
As 5.461 0.000 1.116
P 2.004 0.000 2.936



10
Lattice="7.181 0.000 0.000 0.000 7.181 0.000 0.000 0.000 4.278" Properties=species:S:1:pos:R:3 comment="ZnSn2Au2 (PBE-GGA, optimized geometry)" formation_enthalpy_0k_ev_per_atom=-0.051 relative_energy_mev_per_atom=73 m_tot_mub_per_cell=0.00 pbc="T T T"
Zn 0.000 0.000 0.000
Zn 3.590 3.590 0.000
Sn 1.173 2.418 2.139
Sn 2.418 6.008 2.139
Sn 4.763 1.173 2.139
Sn 6.008 4.763 2.139
Au 1.059 4.650 0.000
Au 2.531 1.059 0.000
Au 4.650 6.122 0.000
Au 6.122 2.531 0.000



10
Lattice="5.309 -2.987 0.000 5.309 2.987 0.000 -4.902 0.000 5.427" Properties=species:S:1:pos:R:3 comment="HoUCo3 (PBE-GGA, optimized geometry)" formation_enthalpy_0k_ev_per_atom=-0.219 relative_energy_mev_per_atom=0 m_tot_mub_per_cell=0.00 pbc="T T T"
Ho 0.000 0.000 0.000
Ho -2.445 0.000 2.719
U 4.567 0.000 2.046
U 2.113 0.000 4.762
Co 2.824 1.281 0.073
Co 0.380 1.281 2.778
Co -0.185 0.000 4.742
Co 2.269 0.000 2.035
Co 2.824 -1.281 0.073
Co 0.380 -1.281 2.778



14
Lattice="-4.079 4.079 4.318 4.079 -4.079 4.318 4.079 4.079 -4.318" Properties=species:S:1:pos:R:3 comment="Li8Mg5Ga (PBE-GGA, optimized geometry)" formation_enthalpy_0k_ev_per_atom=0.017 m_tot_mub_per_cell=0.00 pbc="T T T"
Li 3.443 1.357 -0.077
Li 0.593 1.530 1.347
Li 2.722 -0.636 4.395
Li 1.357 4.715 0.077
Li -2.549 3.486 2.972
Li 0.636 2.722 4.242
Li 2.549 4.672 2.972
Li -0.593 6.628 1.347
Mg 2.285 -0.972 1.516
Mg 5.051 -1.795 2.803
Mg 5.874 0.972 1.516
Mg 0.000 0.000 4.318
Mg 3.107 1.795 2.803
Ga 0.000 4.079 2.159



6
Lattice="2.636 0.000 0.000 0.000 3.472 0.000 -0.040 0.000 8.618" Properties=species:S:1:pos:R:3 comment="LiZnCo (PBE-GGA, optimized geometry)" formation_enthalpy_0k_ev_per_atom=-0.050 relative_energy_mev_per_atom=0 m_tot_mub_per_cell=2.59 pbc="T T T"
Li 0.643 0.868 0.886
Li 1.954 2.604 7.732
Zn 0.639 0.868 6.265
Zn 1.958 2.604 2.353
Co 0.639 0.868 3.736
Co 1.957 2.604 4.882



4
Lattice="-2.587 2.587 5.889 2.587 -2.587 5.889 2.587 2.587 -5.889" Properties=species:S:1:pos:R:3 comment="Ba2LaTe (PBE-GGA, optimized geometry)" m_tot_mub_per_cell=0.00 raw_formation_energy_mev_per_atom=-417 pbc="T T T"
Ba 0.000 0.000 0.000
Ba 0.000 2.587 2.944
La 2.587 0.000 2.944
Te 0.000 0.000 5.889



5
Lattice="-2.091 2.091 10.346 2.091 -2.091 10.346 2.091 2.091 -10.346" Properties=species:S:1:pos:R:3 comment="Ba2CrIn2 (PBE-GGA, optimized geometry)" formation_enthalpy_0k_ev_per_atom=0.683 m_tot_mub_per_cell=1.02 pbc="T T T"
Ba 0.000 0.000 1.939
Ba 0.000 0.000 18.753
Cr 0.000 0.000 10.346
In 2.091 0.000 5.173
In 0.000 2.091 5.173



5
Lattice="5.075 0.000 0.000 0.000 5.075 0.000 0.000 0.000 5.212" Properties=species:S:1:pos:R:3 comment="LiTiPb2I (PBE-GGA, optimized geometry)" m_tot_mub_per_cell=0.00 raw_formation_energy_mev_per_atom=507 pbc="T T T"
Li 0.000 0.000 0.000
Ti 0.000 0.000 2.606
Pb 0.000 2.537 0.000
Pb 2.537 0.000 0.000
I 2.537 2.537 2.606



4
Lattice="4.534 -1.456 0.000 4.534 1.456 0.000 -1.034 0.000 4.966" Properties=species:S:1:pos:R:3 comment="CrCdPt2 (PBE-GGA, optimized geometry)" formation_enthalpy_0k_ev_per_atom=-0.065 m_tot_mub_per_cell=3.45 pbc="T T T"
Cr 0.000 0.000 0.000
Cd 4.017 0.000 2.483
Pt 1.567 0.000 3.803
Pt 6.468 0.000 1.163



5
Lattice="5.354 0.000 0.000 0.000 5.354 0.000 0.000 0.000 5.354" Properties=species:S:1:pos:R:3 comment="Li3TaF (PBE-GGA, optimized geometry)" relative_energy_mev_per_atom=1146 m_tot_mub_per_cell=5.00 raw_formation_energy_mev_per_atom=984 pbc="T T T"
Li 0.000 0.000 2.677
Li 0.000 2.677 0.000
Li 2.677 0.000 0.000
Ta 0.000 0.000 0.000
F 2.677 2.677 2.677



10
Lattice="7.422 0.000 0.000 0.000 7.422 0.000 0.000 0.000 3.014" Properties=species:S:1:pos:R:3 comment="Li2AlGe2 (PBE-GGA, optimized geometry)" formation_enthalpy_0k_ev_per_atom=-0.136 relative_energy_mev_per_atom=0 m_tot_mub_per_cell=0.00 pbc="T T T"
Li 1.336 2.375 0.000
Li 2.375 6.086 0.000
Li 5.047 1.336 0.000
Li 6.086 5.047 0.000
Al 0.000 0.000 1.507
Al 3.711 3.711 1.507
Ge 0.899 4.610 1.507
Ge 2.812 0.899 1.507
Ge 4.610 6.523 1.507
Ge 6.523 2.812 1.507



4
Lattice="0.000 3.269 3.269 3.269 0.000 3.269 3.269 3.269 0.000" Properties=species:S:1:pos:R:3 comment="YTi2Mn (PBE-GGA, optimized geometry)" formation_enthalpy_0k_ev_per_atom=0.380 relative_energy_mev_per_atom=342 m_tot_mub_per_cell=0.00 pbc="T T T"
Y 0.000 0.000 0.000
Ti 1.634 1.634 1.634
Ti 4.903 4.903 4.903
Mn 3.269 3.269 3.269



12
Lattice="5.179 0.000 0.000 -2.589 4.485 0.000 0.000 0.000 6.495" Properties=species:S:1:pos:R:3 comment="Pm2NdPO8 (PBE-GGA, optimized geometry)" m_tot_mub_per_cell=2.02 raw_formation_energy_mev_per_atom=-2428 pbc="T T T"
Pm 0.000 2.990 2.365
Pm 2.589 1.495 4.131
Nd 0.000 0.000 0.000
P 0.000 0.000 3.248
O 0.000 1.379 4.256
O -1.395 3.795 4.256
O 1.194 0.690 2.239
O 0.000 2.990 0.215
O 2.589 1.495 6.281
O 1.395 3.795 4.256
O 3.984 0.690 2.239
O 2.589 3.106 2.239